[1]
DFT (PBE) results for a geometry-optimized Ca3PbAu8 structure.

The space group is P3m1 (No. 156) and the conventional cell measures 5.6404, 5.6404 and 9.5328 Å, with angles of 90.00, 90.00 and 120.00 degrees. The asymmetric unit holds Ca at (0.0000, 0.0000, 0.0000), Ca at (0.0000, 0.0000, 0.3935), Ca at (0.3333, 0.6667, 0.8504), Pb at (0.3333, 0.6667, 0.4831), Au at (0.0047, 0.5023, 0.1787), Au at (0.3289, 0.1645, 0.6922), Au at (0.6667, 0.3333, 0.4345) and Au at (0.6667, 0.3333, 0.9358).

As for the total energy: -0.2585 Ry/atom. As for the energy above the most stable polymorph in this dataset: 0.0 meV per atom. For the mass density, the calculation gives 12.03 g/cm3. The formation energy is -0.523 eV per atom. As for the spin magnetization: 0.00 μB per cell.

***

[2]
DFT (PBE) results for a geometry-optimized HfInCuSe4 structure.

The space group is Imma (No. 74) and the conventional cell measures 7.675, 7.844 and 11.343 Å, with angles of 90.00, 90.00 and 90.00 degrees. The asymmetric unit holds Hf at (0.250, 0.250, 0.250), In at (0.000, 0.000, 0.000), Cu at (0.000, 0.250, 0.620), Se at (0.000, 0.010, 0.255) and Se at (0.249, 0.250, 0.011).

As for the total energy: -0.3784 Ry/atom. As for the raw formation energy: -759 meV/atom. For the mass density, the calculation gives 6.54 g/cm3. As for the spin magnetization: 0.00 μB per cell.

***

[3]
DFT (PBE) results for a geometry-optimized Tb4Ho10Er structure.

The space group is I4/m (No. 87) and the conventional cell measures 12.070, 12.070 and 7.627 Å, with angles of 90.00, 90.00 and 90.00 degrees. The asymmetric unit holds Tb at (0.101, 0.299, 0.000), Ho at (0.000, 0.500, 0.250), Ho at (0.099, 0.800, 0.251) and Er at (0.000, 0.000, 0.500).

As for the total energy: -0.2835 Ry/atom. For the mass density, the calculation gives 7.33 g/cm3. The formation energy is 0.734 eV per atom. As for the spin magnetization: 0.00 μB per cell.